# NaCaSn3

A relaxed NaCaSn3 crystal (GGA-PBE, Alexandria).

Cell: 5.414 5.414 5.414 Å, 90.00 90.00 90.00°
Atoms (fractional coordinates):
Na 0.000 0.000 0.000
Ca 0.500 0.500 0.500
Sn 0.000 0.000 0.500
Sn 0.000 0.500 0.000
Sn 0.500 0.000 0.000

Properties
**N(E_F)**: 3.01 states/eV/cell
**Formation energy**: 236 meV/atom
**Energy above the most stable polymorph in this dataset**: 479.6 meV/atom
**Size of the total moment**: 0.00 μB/cell
**Electronic total energy**: -14.2 eV per cell
**Crystal system**: cubic